No. 1
# Th7Bi5Sb

Crystalline Th7Bi5Sb at its relaxed geometry (GGA-PBE, the Alexandria database).

a b c (Å): 6.6120 8.7321 8.7321
angles (deg): 87.87 67.75 67.75
Atoms (fractional coordinates):
Th: 0.2627 0.2373 0.2373
Th: 0.6448 0.3552 0.3552
Th: 0.5239 0.1387 0.8135
Th: 0.2662 0.7338 0.7338
Bi: 0.5044 0.0059 0.4743
Sb: 0.9703 0.0297 0.0297
Bi: 0.0154 0.0059 0.4743
Th: 0.0024 0.3331 0.6622
Bi: 0.5044 0.4743 0.0059
Bi: 0.0154 0.4743 0.0059
Bi: 0.7638 0.7362 0.7362
Th: 0.5239 0.8135 0.1387
Th: 0.0024 0.6622 0.3331

Summary:
Its raw formation energy is -0.252 eV/atom. The calculation puts the density of states at the Fermi level at 0.99 states/eV/atom. The symmetry is Imm2, No. 44.

=====

No. 2
# TlCdCuPb2

Crystalline TlCdCuPb2 at its relaxed geometry (GGA-PBE, the Alexandria database).

a b c (Å): 5.3332 5.3332 5.1067
angles (deg): 90.00 90.00 90.00
Atoms (fractional coordinates):
Pb: 0.5000 0.0000 0.0000
Cu: 0.0000 0.0000 0.0000
Cd: 0.0000 0.0000 0.5000
Pb: 0.0000 0.5000 0.0000
Tl: 0.5000 0.5000 0.5000

Summary:
The energy of formation is 0.19 eV per atom. The calculation puts the density of states at the Fermi level at 0.53 states/eV/atom. The symmetry is P4/mmm, No. 123.

=====

No. 3
# KNa2Er

Crystalline KNa2Er at its relaxed geometry (GGA-PBE, the Alexandria database).

a b c (Å): 3.6122 3.6122 14.3437
angles (deg): 82.77 82.77 60.00
Atoms (fractional coordinates):
Er: 0.0000 0.0000 0.0000
Na: 0.9198 0.9198 0.2406
Na: 0.0802 0.0802 0.7594
K: 0.5000 0.5000 0.5000

Summary:
The energy of formation is 0.34 eV per atom. The calculation puts the density of states at the Fermi level at 0.94 states/eV/atom. The symmetry is R-3m, No. 166.

=====

No. 4
# Rb4Tb3GaS8

Crystalline Rb4Tb3GaS8 at its relaxed geometry (GGA-PBE, the Alexandria database).

a b c (Å): 8.0558 8.9787 8.0571
angles (deg): 116.64 119.99 90.00
Atoms (fractional coordinates):
S: 0.2203 0.6868 0.4406
Rb: 0.0000 0.0000 0.0000
Rb: 0.5000 0.0000 0.5000
S: 0.7466 0.6865 0.9664
S: 0.7797 0.3132 0.5594
Rb: 0.5000 0.0000 0.0000
S: 0.7802 0.3135 0.0336
Tb: 0.5000 0.5000 0.0000
Ga: 0.0000 0.5000 0.0000
Tb: 0.5000 0.5000 0.5000
S: 0.2534 0.3135 0.0336
S: 0.2687 0.3057 0.5374
S: 0.2198 0.6865 0.9664
Rb: 0.0000 0.0000 0.5000
S: 0.7313 0.6943 0.4626
Tb: 0.0000 0.5000 0.5000

Summary:
Its raw formation energy is -1.541 eV/atom. The symmetry is R-3m, No. 166.

=====

No. 5
# Na4Sc3GaSe8

Crystalline Na4Sc3GaSe8 at its relaxed geometry (GGA-PBE, the Alexandria database).

a b c (Å): 7.8465 8.3165 7.8492
angles (deg): 118.18 119.99 90.00
Atoms (fractional coordinates):
Na: 0.0000 0.0000 0.5000
Se: 0.7395 0.7185 0.4790
Se: 0.7644 0.2848 0.5288
Na: 0.5000 0.0000 0.5000
Na: 0.0000 0.0000 0.0000
Se: 0.7651 0.2854 0.0201
Sc: 0.5000 0.5000 0.0000
Sc: 0.0000 0.5000 0.5000
Sc: 0.5000 0.5000 0.5000
Se: 0.2349 0.7146 0.9799
Ga: 0.0000 0.5000 0.0000
Na: 0.5000 0.0000 0.0000
Se: 0.2550 0.2854 0.0201
Se: 0.2356 0.7152 0.4712
Se: 0.2605 0.2815 0.5210
Se: 0.7450 0.7146 0.9799

Summary:
Its raw formation energy is -1.356 eV/atom. The calculation puts the density of states at the Fermi level at 0.07 states/eV/atom. The symmetry is R-3m, No. 166.

=====

No. 6
# LiLaBr2

Crystalline LiLaBr2 at its relaxed geometry (GGA-PBE, the Alexandria database).

a b c (Å): 6.3312 6.3312 4.1186
angles (deg): 89.92 89.92 39.64
Atoms (fractional coordinates):
Br: 0.0311 0.0311 0.1242
Br: 0.7608 0.7608 0.6249
La: 0.4640 0.4640 0.6246
Li: 0.2441 0.2441 0.1262

Summary:
Its raw formation energy is -1.210 eV/atom. The calculation puts the density of states at the Fermi level at 0.47 states/eV/atom. The symmetry is Cm, No. 8. The calculation puts the relative energy among the computed polymorphs at 18.2 kJ per mole of atoms.

=====

No. 7
# YErAu

Crystalline YErAu at its relaxed geometry (GGA-PBE, the Alexandria database).

a b c (Å): 4.7121 5.5139 6.7501
angles (deg): 95.32 110.43 90.00
Atoms (fractional coordinates):
Y: 0.8710 0.2045 0.7421
Er: 0.4094 0.7303 0.8189
Y: 0.1290 0.7955 0.2579
Au: 0.2339 0.3198 0.4678
Au: 0.7661 0.6802 0.5322
Er: 0.5906 0.2697 0.1811

Summary:
The energy of formation is -0.52 eV per atom. The calculation puts the density of states at the Fermi level at 1.07 states/eV/atom. The symmetry is C2/m, No. 12. The calculation puts the relative energy among the computed polymorphs at 5.0 kJ per mole of atoms.

=====

No. 8
# Tb2Nd5Sb4

Crystalline Tb2Nd5Sb4 at its relaxed geometry (GGA-PBE, the Alexandria database).

a b c (Å): 4.0904 7.1532 15.3005
angles (deg): 119.89 97.68 90.00
Atoms (fractional coordinates):
Tb: 0.7645 0.7621 0.5290
Nd: 0.1424 0.4738 0.2848
Sb: 0.9700 0.6267 0.9400
Sb: 0.0300 0.3733 0.0600
Sb: 0.3255 0.1353 0.6510
Nd: 0.9071 0.1166 0.8142
Nd: 0.0929 0.8834 0.1858
Nd: 0.8576 0.5262 0.7152
Nd: 0.5000 0.0000 0.0000
Sb: 0.6745 0.8647 0.3490
Tb: 0.2355 0.2379 0.4710

Summary:
Its raw formation energy is -0.490 eV/atom. The calculation puts the density of states at the Fermi level at 1.07 states/eV/atom. The symmetry is C2/m, No. 12.

=====

No. 9
# Na5Cd3Au3

Crystalline Na5Cd3Au3 at its relaxed geometry (GGA-PBE, the Alexandria database).

a b c (Å): 3.0401 10.1603 10.1603
angles (deg): 120.00 90.00 90.00
Atoms (fractional coordinates):
Cd: 0.5000 0.0000 0.8317
Na: 0.5000 0.3465 0.0000
Au: 0.0000 0.5930 0.0000
Na: 0.5000 0.0000 0.3465
Na: 0.5000 0.6535 0.6535
Au: 0.0000 0.0000 0.5930
Cd: 0.5000 0.1683 0.1683
Au: 0.0000 0.4070 0.4070
Na: 0.5000 0.3333 0.6667
Cd: 0.5000 0.8317 0.0000
Na: 0.5000 0.6667 0.3333

Summary:
The energy of formation is -0.12 eV per atom. The calculation puts the density of states at the Fermi level at 0.48 states/eV/atom. The symmetry is P-62m, No. 189.

=====

No. 10
# La2Ce4N

Crystalline La2Ce4N at its relaxed geometry (GGA-PBE, the Alexandria database).

a b c (Å): 4.8813 4.8813 8.9502
angles (deg): 74.18 74.18 90.00
Atoms (fractional coordinates):
N: 0.0000 0.0000 0.0000
Ce: 0.8572 0.8572 0.2857
Ce: 0.1428 0.1428 0.7143
La: 0.6628 0.6628 0.6743
Ce: 0.5000 0.0000 0.0000
Ce: 0.0000 0.5000 0.0000
La: 0.3372 0.3372 0.3257

Summary:
Its raw formation energy is -0.239 eV/atom. The calculation puts the density of states at the Fermi level at 2.34 states/eV/atom. The symmetry is I4/mmm, No. 139.

=====

No. 11
# Na2BiIr2

Crystalline Na2BiIr2 at its relaxed geometry (GGA-PBE, the Alexandria database).

a b c (Å): 3.9235 3.9235 7.5737
angles (deg): 74.99 74.99 90.00
Atoms (fractional coordinates):
Na: 0.2500 0.7500 0.5000
Na: 0.7500 0.2500 0.5000
Ir: 0.4115 0.4115 0.1771
Ir: 0.5885 0.5885 0.8229
Bi: 0.0000 0.0000 0.0000

Summary:
The energy of formation is 0.76 eV per atom. The calculation puts the density of states at the Fermi level at 1.42 states/eV/atom. The symmetry is I4/mmm, No. 139. The calculation puts the relative energy among the computed polymorphs at 50.3 kJ per mole of atoms.

=====

No. 12
# CsAcCdF6

Crystalline CsAcCdF6 at its relaxed geometry (GGA-PBE, the Alexandria database).

a b c (Å): 8.4017 7.9210 8.0784
angles (deg): 119.36 121.33 90.00
Atoms (fractional coordinates):
F: 0.1698 0.8486 0.7300
Cs: 0.1568 0.4068 0.3136
Ac: 0.5000 0.0000 0.5000
Ac: 0.0000 0.0000 0.5000
F: 0.1354 0.8854 0.2709
F: 0.1698 0.3814 0.7300
F: 0.3946 0.1446 0.7892
F: 0.6054 0.8554 0.2108
F: 0.8302 0.6186 0.2700
Cs: 0.8432 0.5932 0.6864
F: 0.8302 0.1514 0.2700
F: 0.5602 0.3814 0.7300
Cd: 0.5000 0.5000 0.0000
F: 0.5602 0.8486 0.7300
Cd: 0.5000 0.0000 0.0000
F: 0.8646 0.1146 0.7291
F: 0.4398 0.6186 0.2700
F: 0.4398 0.1514 0.2700

Summary:
Its raw formation energy is -3.186 eV/atom. The calculation puts the density of states at the Fermi level at 0.00 states/eV/atom. The symmetry is Imma, No. 74.

=====

No. 13
# CrBiRu2Pt

Crystalline CrBiRu2Pt at its relaxed geometry (GGA-PBE, the Alexandria database).

a b c (Å): 4.4056 4.9716 4.4056
angles (deg): 90.00 90.00 90.00
Atoms (fractional coordinates):
Cr: 0.0000 0.0000 0.0000
Ru: 0.0000 0.0000 0.5000
Bi: 0.0000 0.5000 0.0000
Ru: 0.5000 0.0000 0.0000
Pt: 0.5000 0.5000 0.5000

Summary:
The energy of formation is 1.17 eV per atom. The calculation puts the density of states at the Fermi level at 1.01 states/eV/atom. The symmetry is P4/mmm, No. 123.

=====

No. 14
# Fe3BiBr

Crystalline Fe3BiBr at its relaxed geometry (GGA-PBE, the Alexandria database).

a b c (Å): 4.9115 4.9115 4.9115
angles (deg): 90.00 90.00 90.00
Atoms (fractional coordinates):
Bi: 0.0000 0.0000 0.0000
Fe: 0.5000 0.0000 0.0000
Fe: 0.0000 0.0000 0.5000
Fe: 0.0000 0.5000 0.0000
Br: 0.5000 0.5000 0.5000

Summary:
Its raw formation energy is 1.998 eV/atom. The calculation puts the density of states at the Fermi level at 2.53 states/eV/atom. The symmetry is Pm-3m, No. 221. The calculation puts the relative energy among the computed polymorphs at 89.8 kJ per mole of atoms.

=====

No. 15
# TbThHg4

Crystalline TbThHg4 at its relaxed geometry (GGA-PBE, the Alexandria database).

a b c (Å): 5.0377 6.0734 6.0734
angles (deg): 91.62 65.69 65.69
Atoms (fractional coordinates):
Th: 0.0000 0.0000 0.0000
Hg: 0.7486 0.5845 0.9180
Hg: 0.2513 0.4155 0.0820
Hg: 0.7486 0.9180 0.5845
Hg: 0.2513 0.0820 0.4155
Tb: 0.5000 0.5000 0.5000

Summary:
The energy of formation is -0.32 eV per atom. The calculation puts the density of states at the Fermi level at 0.70 states/eV/atom. The symmetry is C2/m, No. 12. The calculation puts the relative energy among the computed polymorphs at 1.0 kJ per mole of atoms.

=====

No. 16
# ScGaSn3

Crystalline ScGaSn3 at its relaxed geometry (GGA-PBE, the Alexandria database).

a b c (Å): 5.2691 5.2691 5.2691
angles (deg): 90.00 90.00 90.00
Atoms (fractional coordinates):
Sn: 0.5000 0.0000 0.0000
Sn: 0.0000 0.5000 0.0000
Sc: 0.5000 0.5000 0.5000
Ga: 0.0000 0.0000 0.0000
Sn: 0.0000 0.0000 0.5000

Summary:
The energy of formation is 0.39 eV per atom. The calculation puts the density of states at the Fermi level at 0.97 states/eV/atom. The symmetry is Pm-3m, No. 221. The calculation puts the relative energy among the computed polymorphs at 6.8 kJ per mole of atoms.

=====

No. 17
# MgGaSnGe2

Crystalline MgGaSnGe2 at its relaxed geometry (GGA-PBE, the Alexandria database).

a b c (Å): 5.3042 5.3288 5.3042
angles (deg): 90.00 90.00 90.00
Atoms (fractional coordinates):
Ga: 0.0000 0.5000 0.0000
Ge: 0.0000 0.0000 0.5000
Ge: 0.5000 0.0000 0.0000
Sn: 0.0000 0.0000 0.0000
Mg: 0.5000 0.5000 0.5000

Summary:
The energy of formation is 0.70 eV per atom. The calculation puts the density of states at the Fermi level at 0.65 states/eV/atom. The symmetry is P4/mmm, No. 123.

=====

No. 18
# TmMgTeO6

Crystalline TmMgTeO6 at its relaxed geometry (GGA-PBE, the Alexandria database).

a b c (Å): 5.2836 5.2836 9.4254
angles (deg): 90.00 90.00 120.00
Atoms (fractional coordinates):
O: 0.3626 0.0227 0.6364
O: 0.9773 0.6374 0.8636
O: 0.9773 0.3400 0.6364
Te: 0.3333 0.6667 0.2500
Tm: 0.0000 0.0000 0.0000
O: 0.0227 0.6600 0.3636
O: 0.3400 0.3626 0.3636
Mg: 0.6667 0.3333 0.2500
O: 0.6374 0.9773 0.3636
O: 0.6374 0.6600 0.1364
O: 0.6600 0.6374 0.6364
Te: 0.6667 0.3333 0.7500
O: 0.0227 0.3626 0.1364
Tm: 0.0000 0.0000 0.5000
O: 0.3626 0.3400 0.8636
O: 0.3400 0.9773 0.1364
O: 0.6600 0.0227 0.8636
Mg: 0.3333 0.6667 0.7500

Summary:
Its raw formation energy is -2.031 eV/atom. The calculation puts the density of states at the Fermi level at 0.51 states/eV/atom. The symmetry is P-31c, No. 163.

=====

No. 19
# KTiN2F

Crystalline KTiN2F at its relaxed geometry (GGA-PBE, the Alexandria database).

a b c (Å): 3.9272 3.9272 4.4255
angles (deg): 90.00 90.00 90.00
Atoms (fractional coordinates):
F: 0.0000 0.0000 0.5000
N: 0.5000 0.0000 0.0000
Ti: 0.0000 0.0000 0.0000
N: 0.0000 0.5000 0.0000
K: 0.5000 0.5000 0.5000

Summary:
Its raw formation energy is -0.949 eV/atom. The calculation puts the density of states at the Fermi level at 0.20 states/eV/atom. The symmetry is P4/mmm, No. 123. The calculation puts the relative energy among the computed polymorphs at 0.0 kJ per mole of atoms.

=====

No. 20
# AcYAgIr

Crystalline AcYAgIr at its relaxed geometry (GGA-PBE, the Alexandria database).

a b c (Å): 5.2064 5.2064 5.2064
angles (deg): 60.00 60.00 60.00
Atoms (fractional coordinates):
Y: 0.5000 0.5000 0.5000
Ag: 0.7500 0.7500 0.7500
Ir: 0.2500 0.2500 0.2500
Ac: 0.0000 0.0000 0.0000

Summary:
The energy of formation is -0.40 eV per atom. The calculation puts the density of states at the Fermi level at 0.87 states/eV/atom. The symmetry is F-43m, No. 216.